Computed, not measured: a relaxed KBaAu2 crystal at the GGA-PBE level of DFT.

Its relative energy among the computed polymorphs is 22.01 kJ per mole of atoms. Its total energy is -10.786 eV/f.u. As for the volume: 302.48 Å³ per cell. As for the energy of formation from the pure elements: -303 meV per atom.

Cell: 8.695 8.695 7.335 Å, 53.65 53.65 90.00°
Fractional coordinates of all 8 atoms:
K (0.500, 0.500, 0.000)
K (0.250, 0.750, 0.500)
Au (0.627, 0.125, 0.250)
Au (0.123, 0.625, 0.250)
Au (0.375, 0.373, 0.750)
Au (0.875, 0.877, 0.750)
Ba (0.000, 0.000, 0.000)
Ba (0.750, 0.250, 0.500)



Computed, not measured: a relaxed SrTlCdGa crystal at the GGA-PBE level of DFT.

Its total energy is -8.863 eV/f.u. As for the volume: 107.08 Å³ per cell. As for the energy of formation from the pure elements: -218 meV per atom.

Cell: 5.330 5.330 5.330 Å, 60.00 60.00 60.00°
Fractional coordinates of all 4 atoms:
Sr (0.250, 0.250, 0.250)
Tl (0.500, 0.500, 0.500)
Ga (0.000, 0.000, 0.000)
Cd (0.750, 0.750, 0.750)



Computed, not measured: a relaxed GaPHPtS crystal at the GGA-PBE level of DFT.

Its relative energy among the computed polymorphs is 14.25 kJ per mole of atoms. Its total energy is -22.856 eV/f.u. As for the volume: 83.05 Å³ per cell.

Cell: 3.829 4.787 5.302 Å, 108.81 91.21 113.57°
Fractional coordinates of all 5 atoms:
Ga (0.433, 0.919, 0.432)
P (0.259, 0.423, 0.006)
H (0.985, 0.628, 0.529)
Pt (0.772, 0.482, 0.775)
S (0.014, 0.018, 0.123)



Computed, not measured: a relaxed Pd2PtW crystal at the GGA-PBE level of DFT.

Its relative energy among the computed polymorphs is 18.26 kJ per mole of atoms. Its total energy is -29.212 eV/f.u. As for the volume: 62.25 Å³ per cell. As for the energy of formation from the pure elements: 42 meV per atom.

Cell: 4.448 4.448 4.449 Å, 60.00 60.00 60.00°
Fractional coordinates of all 4 atoms:
Pd (0.000, 0.000, 0.000)
Pd (0.250, 0.250, 0.250)
Pt (0.750, 0.750, 0.750)
W (0.500, 0.500, 0.500)



Computed, not measured: a relaxed Na4Pu3ZnS8 crystal at the GGA-PBE level of DFT.

Its total energy is -103.997 eV/f.u. As for the volume: 359.56 Å³ per cell. The value obtained for the energy relative to the elements, uncorrected is -1.339 eV/atom.

Cell: 7.923 8.041 7.923 Å, 119.51 120.00 90.00°
Last column: magnetic moment on the atom in μB.
Fractional coordinates of all 16 atoms:
Na (0.500, 0.000, 0.000)  0.00
Na (0.500, 0.000, 0.500)  0.00
Na (0.000, 0.000, 0.000)  0.00
Na (0.000, 0.000, 0.500)  0.00
Pu (0.500, 0.500, 0.000)  4.88
Pu (0.500, 0.500, 0.500)  4.88
Pu (0.000, 0.500, 0.500)  4.88
Zn (0.000, 0.500, 0.000)  0.01
S (0.236, 0.720, 0.984)  -0.10
S (0.236, 0.721, 0.472)  -0.10
S (0.258, 0.274, 0.516)  -0.11
S (0.748, 0.720, 0.984)  -0.10
S (0.252, 0.280, 0.016)  -0.10
S (0.742, 0.726, 0.484)  -0.11
S (0.764, 0.279, 0.528)  -0.10
S (0.764, 0.280, 0.016)  -0.10



Computed, not measured: a relaxed CaW2I crystal at the GGA-PBE level of DFT.

Its relative energy among the computed polymorphs is 0.00 kJ per mole of atoms. Its total energy is -25.173 eV/f.u. As for the volume: 190.31 Å³ per cell. The value obtained for the energy relative to the elements, uncorrected is 1.071 eV/atom.

Cell: 3.988 3.988 12.293 Å, 80.66 80.66 90.00°
Fractional coordinates of all 8 atoms:
I (0.000, 0.000, 0.000)
I (0.750, 0.250, 0.500)
Ca (0.500, 0.500, 0.000)
Ca (0.250, 0.750, 0.500)
W (0.577, 0.125, 0.250)
W (0.173, 0.625, 0.250)
W (0.375, 0.423, 0.750)
W (0.875, 0.827, 0.750)



Copy entry 2 word for word.
Computed, not measured: a relaxed SrTlCdGa crystal at the GGA-PBE level of DFT.

Its total energy is -8.863 eV/f.u. As for the volume: 107.08 Å³ per cell. As for the energy of formation from the pure elements: -218 meV per atom.

Cell: 5.330 5.330 5.330 Å, 60.00 60.00 60.00°
Fractional coordinates of all 4 atoms:
Sr (0.250, 0.250, 0.250)
Tl (0.500, 0.500, 0.500)
Ga (0.000, 0.000, 0.000)
Cd (0.750, 0.750, 0.750)



Q: Which of these has the lowest volume?
A: Pd2PtW